Th4ZrHg3 (PBE-GGA, relaxed); total moment = 0.00 μB per cell; space group = Pmmm, No. 47; DFT formation energy = -0.103 eV per atom
1.0
3.496 0.000 0.000
0.000 5.647 0.000
0.000 0.000 11.368
Th Zr Hg
4 1 3
direct
0.000 0.000 0.000
0.000 0.000 0.500
0.000 0.500 0.250
0.000 0.500 0.750
0.500 0.500 0.000
0.500 0.000 0.249
0.500 0.000 0.751
0.500 0.500 0.500